Computed, not measured: crystalline Ce2NdAuN at its relaxed geometry at the PBE level of DFT.

Values from the calculation:
Total moment, μB/atom: 0.279
ρ, g/cm3: 9.06
Formation energy from raw total energies, eV per atom: -0.767

Lattice parameters (Å, degrees): 4.809 4.809 5.039 90.00 90.00 90.00
Fractional positions:
Ce: 0.000 0.500 0.000
Ce: 0.500 0.000 0.000
Nd: 0.000 0.000 0.500
Au: 0.500 0.500 0.500
N: 0.000 0.000 0.000

Computed, not measured: crystalline CeNi2Au2N at its relaxed geometry at the PBE level of DFT.

Values from the calculation:
Total moment, μB/atom: 0.026
ρ, g/cm3: 10.71
Formation energy from raw total energies, eV per atom: -0.284

Lattice parameters (Å, degrees): 7.581 7.581 7.581 150.84 150.84 41.71
Fractional positions:
Ce: 0.000 0.000 0.000
Ni: 0.376 0.376 0.000
Ni: 0.624 0.624 0.000
Au: 0.250 0.750 0.500
Au: 0.750 0.250 0.500
N: 0.500 0.500 0.000

Computed, not measured: crystalline Ce2PmAuN at its relaxed geometry at the PBE level of DFT.

Values from the calculation:
Total moment, μB/atom: 0.268
ρ, g/cm3: 9.15
Formation energy from raw total energies, eV per atom: -0.780

Lattice parameters (Å, degrees): 4.812 4.812 4.984 90.00 90.00 90.00
Fractional positions:
Ce: 0.000 0.500 0.000
Ce: 0.500 0.000 0.000
Pm: 0.000 0.000 0.500
Au: 0.500 0.500 0.500
N: 0.000 0.000 0.000

Computed, not measured: crystalline Ce2PrAuN at its relaxed geometry at the PBE level of DFT.

Values from the calculation:
Total moment, μB/atom: 0.292
ρ, g/cm3: 8.92
Formation energy from raw total energies, eV per atom: -0.755

Lattice parameters (Å, degrees): 4.806 4.806 5.095 90.00 90.00 90.00
Fractional positions:
Ce: 0.000 0.500 0.000
Ce: 0.500 0.000 0.000
Pr: 0.000 0.000 0.500
Au: 0.500 0.500 0.500
N: 0.000 0.000 0.000

Computed, not measured: crystalline Ce2AuS2N2 at its relaxed geometry at the PBE level of DFT.

Values from the calculation:
Total moment, μB/atom: 0.000
ρ, g/cm3: 6.36
Formation energy from raw total energies, eV per atom: -1.089

Lattice parameters (Å, degrees): 3.984 3.984 10.822 90.00 90.00 120.00
Fractional positions:
Ce: 0.333 0.667 0.132
Ce: 0.667 0.333 0.868
Au: 0.000 0.000 0.500
S: 0.000 0.000 0.290
S: 0.000 0.000 0.710
N: 0.333 0.667 0.923
N: 0.667 0.333 0.077

Computed, not measured: crystalline CeSbAuN at its relaxed geometry at the PBE level of DFT.

Values from the calculation:
Total moment, μB/atom: 0.111
ρ, g/cm3: 9.52
Formation energy from raw total energies, eV per atom: -0.541

Lattice parameters (Å, degrees): 7.490 7.490 7.490 153.68 153.68 37.56
Fractional positions:
Ce: 0.000 0.000 0.000
Sb: 0.704 0.704 0.000
Au: 0.327 0.327 0.000
N: 0.482 0.482 0.000

Computed, not measured: crystalline Ce2SmAuN at its relaxed geometry at the PBE level of DFT.

Values from the calculation:
Total moment, μB/atom: 0.262
ρ, g/cm3: 9.29
Formation energy from raw total energies, eV per atom: -0.786

Lattice parameters (Å, degrees): 4.815 4.815 4.947 90.00 90.00 90.00
Fractional positions:
Ce: 0.000 0.500 0.000
Ce: 0.500 0.000 0.000
Sm: 0.000 0.000 0.500
Au: 0.500 0.500 0.500
N: 0.000 0.000 0.000

Computed, not measured: crystalline CeSnAuN at its relaxed geometry at the PBE level of DFT.

Values from the calculation:
Total moment, μB/atom: 0.070
ρ, g/cm3: 9.42
Formation energy from raw total energies, eV per atom: -0.586

Lattice parameters (Å, degrees): 7.628 7.628 7.628 154.39 154.39 36.53
Fractional positions:
Ce: 0.000 0.000 0.000
Sn: 0.288 0.288 0.000
Au: 0.672 0.672 0.000
N: 0.518 0.518 0.000

Computed, not measured: crystalline Ce2ThAuN at its relaxed geometry at the PBE level of DFT.

Values from the calculation:
Total moment, μB/atom: 0.277
ρ, g/cm3: 10.36
Formation energy from raw total energies, eV per atom: -0.771

Lattice parameters (Å, degrees): 4.855 4.855 4.920 90.00 90.00 90.00
Fractional positions:
Ce: 0.000 0.500 0.000
Ce: 0.500 0.000 0.000
Th: 0.000 0.000 0.500
Au: 0.500 0.500 0.500
N: 0.000 0.000 0.000

Computed, not measured: crystalline Ce2YAuN at its relaxed geometry at the PBE level of DFT.

Values from the calculation:
Total moment, μB/atom: 0.248
ρ, g/cm3: 8.59
Formation energy from raw total energies, eV per atom: -0.817

Lattice parameters (Å, degrees): 4.835 4.835 4.798 90.00 90.00 90.00
Fractional positions:
Ce: 0.000 0.500 0.000
Ce: 0.500 0.000 0.000
Y: 0.000 0.000 0.500
Au: 0.500 0.500 0.500
N: 0.000 0.000 0.000

Computed, not measured: crystalline NaCe2Au6 at its relaxed geometry at the PBE level of DFT.

Values from the calculation:
ΔE_f, eV per atom: -0.521
Total moment, μB/atom: 0.260
ρ, g/cm3: 12.17

Lattice parameters (Å, degrees): 8.366 8.366 3.341 90.00 90.00 120.00
Fractional positions:
Na: 0.000 0.000 0.000
Ce: 0.333 0.667 0.000
Ce: 0.667 0.333 0.000
Au: 0.000 0.332 0.500
Au: 0.000 0.668 0.500
Au: 0.332 0.000 0.500
Au: 0.332 0.332 0.500
Au: 0.668 0.000 0.500
Au: 0.668 0.668 0.500

Computed, not measured: crystalline Na3CeAu4 at its relaxed geometry at the PBE level of DFT.

Values from the calculation:
ΔE_f, eV per atom: -0.404
Total moment, μB/atom: 0.143
ρ, g/cm3: 8.91

Lattice parameters (Å, degrees): 8.812 8.812 8.812 33.51 33.51 33.51
Fractional positions:
Na: 0.000 0.000 0.000
Na: 0.257 0.257 0.257
Na: 0.743 0.743 0.743
Ce: 0.500 0.500 0.500
Au: 0.127 0.127 0.127
Au: 0.380 0.380 0.380
Au: 0.620 0.620 0.620
Au: 0.873 0.873 0.873

Computed, not measured: crystalline NaCe4Au5 at its relaxed geometry at the PBE level of DFT.

Values from the calculation:
ΔE_f, eV per atom: -0.538
Total moment, μB/atom: 0.425
ρ, g/cm3: 10.53

Lattice parameters (Å, degrees): 3.631 3.631 18.753 90.00 90.00 90.00
Fractional positions:
Na: 0.000 0.000 0.000
Ce: 0.000 0.000 0.195
Ce: 0.000 0.000 0.399
Ce: 0.000 0.000 0.601
Ce: 0.000 0.000 0.805
Au: 0.500 0.500 0.100
Au: 0.500 0.500 0.298
Au: 0.500 0.500 0.500
Au: 0.500 0.500 0.702
Au: 0.500 0.500 0.900

Computed, not measured: crystalline NaCeAu at its relaxed geometry at the PBE level of DFT.

Values from the calculation:
ΔE_f, eV per atom: -0.185
Total moment, μB/atom: 0.530
ρ, g/cm3: 7.13

Lattice parameters (Å, degrees): 6.819 6.819 6.819 149.00 149.00 44.41
Fractional positions:
Na: 0.000 0.000 0.000
Ce: 0.275 0.275 0.000
Au: 0.646 0.646 0.000

Computed, not measured: crystalline Na2CeAu4 at its relaxed geometry at the PBE level of DFT.

Values from the calculation:
ΔE_f, eV per atom: -0.408
Total moment, μB/atom: 0.170
ρ, g/cm3: 9.92

Lattice parameters (Å, degrees): 10.241 10.241 10.241 160.59 152.79 33.64
Fractional positions:
Na: 0.198 0.198 0.000
Na: 0.802 0.802 0.000
Ce: 0.500 0.000 0.500
Au: 0.071 0.571 0.500
Au: 0.357 0.357 0.000
Au: 0.643 0.643 0.000
Au: 0.929 0.429 0.500

Computed, not measured: crystalline NaCeAu at its relaxed geometry at the PBE level of DFT.

Values from the calculation:
ΔE_f, eV per atom: -0.202
Total moment, μB/atom: 0.460
ρ, g/cm3: 6.44

Lattice parameters (Å, degrees): 8.789 8.789 8.789 33.64 33.64 33.64
Fractional positions:
Na: 0.136 0.136 0.136
Na: 0.864 0.864 0.864
Ce: 0.382 0.382 0.382
Ce: 0.618 0.618 0.618
Au: 0.261 0.261 0.261
Au: 0.739 0.739 0.739

Computed, not measured: crystalline Na5Ce3Au12 at its relaxed geometry at the PBE level of DFT.

Values from the calculation:
ΔE_f, eV per atom: -0.136
Total moment, μB/atom: 0.157
ρ, g/cm3: 7.75

Lattice parameters (Å, degrees): 14.778 14.778 14.778 109.47 109.47 109.47
Fractional positions:
Na: 0.000 0.000 0.000
Na: 0.000 0.000 0.500
Na: 0.000 0.500 0.000
Na: 0.000 0.500 0.500
Na: 0.125 0.750 0.875
Na: 0.125 0.875 0.250
Na: 0.250 0.125 0.875
Na: 0.250 0.625 0.375
Na: 0.375 0.250 0.625
Na: 0.375 0.625 0.750
Na: 0.500 0.000 0.000
Na: 0.500 0.000 0.500
Na: 0.500 0.500 0.000
Na: 0.500 0.500 0.500
Na: 0.625 0.375 0.250
Na: 0.625 0.750 0.375
Na: 0.750 0.375 0.625
Na: 0.750 0.875 0.125
Na: 0.875 0.125 0.750
Na: 0.875 0.250 0.125
Ce: 0.125 0.250 0.375
Ce: 0.125 0.375 0.750
Ce: 0.250 0.375 0.125
Ce: 0.250 0.875 0.625
Ce: 0.375 0.125 0.250
Ce: 0.375 0.750 0.125
Ce: 0.625 0.250 0.875
Ce: 0.625 0.875 0.750
Ce: 0.750 0.125 0.375
Ce: 0.750 0.625 0.875
Ce: 0.875 0.625 0.250
Ce: 0.875 0.750 0.625
Au: 0.071 0.225 0.148
Au: 0.071 0.345 0.923
Au: 0.077 0.648 0.422
Au: 0.077 0.929 0.655
Au: 0.078 0.725 0.655
Au: 0.078 0.852 0.423
Au: 0.148 0.071 0.225
Au: 0.148 0.577 0.922
Au: 0.155 0.225 0.578
Au: 0.155 0.429 0.577
Au: 0.225 0.148 0.071
Au: 0.225 0.578 0.155
Au: 0.275 0.345 0.922
Au: 0.275 0.429 0.352
Au: 0.345 0.922 0.275
Au: 0.345 0.923 0.071
Au: 0.352 0.275 0.429
Au: 0.352 0.578 0.923
Au: 0.422 0.077 0.648
Au: 0.422 0.845 0.775
Au: 0.423 0.078 0.852
Au: 0.423 0.845 0.571
Au: 0.429 0.352 0.275
Au: 0.429 0.577 0.155
Au: 0.571 0.423 0.845
Au: 0.571 0.648 0.725
Au: 0.577 0.155 0.429
Au: 0.577 0.922 0.148
Au: 0.578 0.155 0.225
Au: 0.578 0.923 0.352
Au: 0.648 0.422 0.077
Au: 0.648 0.725 0.571
Au: 0.655 0.077 0.929
Au: 0.655 0.078 0.725
Au: 0.725 0.571 0.648
Au: 0.725 0.655 0.078
Au: 0.775 0.422 0.845
Au: 0.775 0.852 0.929
Au: 0.845 0.571 0.423
Au: 0.845 0.775 0.422
Au: 0.852 0.423 0.078
Au: 0.852 0.929 0.775
Au: 0.922 0.148 0.577
Au: 0.922 0.275 0.345
Au: 0.923 0.071 0.345
Au: 0.923 0.352 0.578
Au: 0.929 0.655 0.077
Au: 0.929 0.775 0.852

Computed, not measured: crystalline NaCe2Au4 at its relaxed geometry at the PBE level of DFT.

Values from the calculation:
ΔE_f, eV per atom: -0.430
Total moment, μB/atom: 0.335
ρ, g/cm3: 10.08

Lattice parameters (Å, degrees): 8.677 8.677 8.677 33.77 33.77 33.77
Fractional positions:
Na: 0.000 0.000 0.000
Ce: 0.246 0.246 0.246
Ce: 0.754 0.754 0.754
Au: 0.122 0.122 0.122
Au: 0.374 0.374 0.374
Au: 0.626 0.626 0.626
Au: 0.878 0.878 0.878

Computed, not measured: crystalline NaCe2Au at its relaxed geometry at the PBE level of DFT.

Values from the calculation:
ΔE_f, eV per atom: 0.034
Total moment, μB/atom: 0.611
ρ, g/cm3: 7.23

Lattice parameters (Å, degrees): 12.093 12.093 12.093 15.85 15.85 15.85
Fractional positions:
Na: 0.000 0.000 0.000
Ce: 0.098 0.098 0.098
Ce: 0.902 0.902 0.902
Au: 0.500 0.500 0.500

Computed, not measured: crystalline NaCeAu4 at its relaxed geometry at the PBE level of DFT.

Values from the calculation:
ΔE_f, eV per atom: -0.366
Total moment, μB/atom: 0.182
ρ, g/cm3: 10.75

Lattice parameters (Å, degrees): 9.651 9.651 9.651 156.14 156.14 34.00
Fractional positions:
Na: 0.000 0.000 0.000
Ce: 0.750 0.250 0.500
Au: 0.174 0.674 0.500
Au: 0.326 0.826 0.500
Au: 0.427 0.427 0.000
Au: 0.573 0.573 0.000